SrGeIr3: optimized geometry, GGA-PBE.

a b c (Å): 4.6822 4.6822 4.6822
angles (deg): 90.00 90.00 90.00
Closest atoms and distances in Å follow each position.
Fractional positions:
Sr1 0.0000 0.0000 0.0000  12 Ir 3.31
Ge1 0.5000 0.5000 0.5000  6 Ir 2.34
Ir1 0.0000 0.5000 0.5000  2 Ge 2.34
Ir2 0.5000 0.0000 0.5000  2 Ge 2.34
Ir3 0.5000 0.5000 0.0000  2 Ge 2.34

Output
Final energy = -6.213 eV/atom
Energy of formation = 0.3639 eV/atom
Calculated volume = 102.6 Å³/f.u.

---

Sr3Ge2Ir2: optimized geometry, GGA-PBE.

a b c (Å): 6.1158 8.1466 13.8752
angles (deg): 90.00 90.00 90.00
Closest atoms and distances in Å follow each position.
Fractional positions:
Sr1 0.1357 0.2284 0.2500  2 Ge 3.08-3.09, 4 Ir 3.22-3.27
Sr2 0.1357 0.2716 0.7500  2 Ge 3.08-3.09, 4 Ir 3.22-3.27
Sr3 0.3634 0.6099 0.5995  4 Ir 3.07-3.30, 3 Ge 3.20-3.30
Sr4 0.3634 0.6099 0.9005  4 Ir 3.07-3.30, 3 Ge 3.20-3.30
Sr5 0.3634 0.8901 0.0995  4 Ir 3.07-3.30, 3 Ge 3.20-3.30
Sr6 0.3634 0.8901 0.4005  4 Ir 3.07-3.30, 3 Ge 3.20-3.30
Sr7 0.6366 0.1099 0.5995  4 Ir 3.07-3.30, 3 Ge 3.20-3.30
Sr8 0.6366 0.1099 0.9005  4 Ir 3.07-3.30, 3 Ge 3.20-3.30
Sr9 0.6366 0.3901 0.0995  4 Ir 3.07-3.30, 3 Ge 3.20-3.30
Sr10 0.6366 0.3901 0.4005  4 Ir 3.07-3.30, 3 Ge 3.20-3.30
Sr11 0.8643 0.7284 0.2500  2 Ge 3.08-3.09, 4 Ir 3.22-3.27
Sr12 0.8643 0.7716 0.7500  2 Ge 3.08-3.09, 4 Ir 3.22-3.27
Ge1 0.0894 0.2500 0.0000  4 Ir 2.58-2.60
Ge2 0.0894 0.2500 0.5000  4 Ir 2.58-2.60
Ge3 0.3289 0.5780 0.2500  2 Ir 2.56
Ge4 0.3289 0.9220 0.7500  2 Ir 2.56
Ge5 0.6711 0.0780 0.2500  2 Ir 2.56
Ge6 0.6711 0.4220 0.7500  2 Ir 2.56
Ge7 0.9106 0.7500 0.0000  4 Ir 2.58-2.60
Ge8 0.9106 0.7500 0.5000  4 Ir 2.58-2.60
Ir1 0.1322 0.5245 0.0904  3 Ge 2.56-2.60
Ir2 0.1322 0.5245 0.4096  3 Ge 2.56-2.60
Ir3 0.1322 0.9755 0.5904  3 Ge 2.56-2.60
Ir4 0.1322 0.9755 0.9096  3 Ge 2.56-2.60
Ir5 0.8678 0.0245 0.0904  3 Ge 2.56-2.60
Ir6 0.8678 0.0245 0.4096  3 Ge 2.56-2.60
Ir7 0.8678 0.4755 0.5904  3 Ge 2.56-2.60
Ir8 0.8678 0.4755 0.9096  3 Ge 2.56-2.60

Output
Final energy = -5.132 eV/atom
Energy of formation = -0.5602 eV/atom
Calculated volume = 172.8 Å³/f.u.

---

SrGe3Ir: optimized geometry, GGA-PBE.

a b c (Å): 4.5103 4.5103 6.0206
angles (deg): 111.96 111.96 90.03
Closest atoms and distances in Å follow each position.
Fractional positions:
Sr1 0.0000 0.0000 0.0000  12 Ge 3.31-3.44, 5 Ir 3.53-3.59
Ge1 0.2535 0.7530 0.5072  2 Ir 2.49-2.50, 2 Ge 2.77
Ge2 0.4109 0.4109 0.8236  1 Ir 2.42
Ge3 0.7530 0.2535 0.5072  2 Ir 2.49-2.50, 2 Ge 2.77
Ir1 0.6493 0.6493 0.2976  5 Ge 2.42-2.50

Output
Final energy = -5.426 eV/atom
Energy of formation = -0.5471 eV/atom
Calculated volume = 103.9 Å³/f.u.

---

SrGe2Ir2: optimized geometry, GGA-PBE.

a b c (Å): 7.8188 7.8188 2.9263
angles (deg): 90.00 90.00 90.00
Closest atoms and distances in Å follow each position.
Fractional positions:
Sr1 0.0000 0.0000 0.0000  2 Sr 2.93, 4 Ge 3.02
Sr2 0.5000 0.5000 0.0000  2 Sr 2.93, 4 Ge 3.02
Ge1 0.1409 0.3591 0.0000  6 Ir 2.66-2.80, 2 Ge 2.93
Ge2 0.3591 0.8591 0.0000  6 Ir 2.66-2.80, 2 Ge 2.93
Ge3 0.6409 0.1409 0.0000  6 Ir 2.66-2.80, 2 Ge 2.93
Ge4 0.8591 0.6409 0.0000  6 Ir 2.66-2.80, 2 Ge 2.93
Ir1 0.1436 0.6436 0.5000  6 Ge 2.66-2.80, 2 Ir 2.93
Ir2 0.3564 0.1436 0.5000  6 Ge 2.66-2.80, 2 Ir 2.93
Ir3 0.6436 0.8564 0.5000  6 Ge 2.66-2.80, 2 Ir 2.93
Ir4 0.8564 0.3564 0.5000  6 Ge 2.66-2.80, 2 Ir 2.93

Output
Final energy = -5.877 eV/atom
Energy of formation = -0.1498 eV/atom
Calculated volume = 89.4 Å³/f.u.

---

SrGe3Ir3: optimized geometry, GGA-PBE.

a b c (Å): 6.8217 6.8217 6.8217
angles (deg): 90.00 90.00 90.00
Closest atoms and distances in Å follow each position.
Fractional positions:
Sr1 0.0000 0.0000 0.0000  12 Ge 3.81, 12 Ir 3.81
Sr2 0.5000 0.5000 0.5000  12 Ge 3.81, 12 Ir 3.81
Ge1 0.0000 0.2500 0.5000  4 Ir 2.41
Ge2 0.0000 0.7500 0.5000  4 Ir 2.41
Ge3 0.2500 0.5000 0.0000  4 Ir 2.41
Ge4 0.5000 0.0000 0.2500  4 Ir 2.41
Ge5 0.5000 0.0000 0.7500  4 Ir 2.41
Ge6 0.7500 0.5000 0.0000  4 Ir 2.41
Ir1 0.0000 0.5000 0.2500  4 Ge 2.41
Ir2 0.0000 0.5000 0.7500  4 Ge 2.41
Ir3 0.2500 0.0000 0.5000  4 Ge 2.41
Ir4 0.5000 0.2500 0.0000  4 Ge 2.41
Ir5 0.5000 0.7500 0.0000  4 Ge 2.41
Ir6 0.7500 0.0000 0.5000  4 Ge 2.41

Output
Final energy = -6.254 eV/atom
Energy of formation = -0.2371 eV/atom
Calculated volume = 158.7 Å³/f.u.

---

SrGe3Ir: optimized geometry, GGA-PBE.

a b c (Å): 5.3238 5.3238 5.3238
angles (deg): 90.00 90.00 90.00
Closest atoms and distances in Å follow each position.
Fractional positions:
Sr1 0.0000 0.0000 0.0000  6 Ge 2.66
Ge1 0.0000 0.0000 0.5000  2 Sr 2.66
Ge2 0.0000 0.5000 0.0000  2 Sr 2.66
Ge3 0.5000 0.0000 0.0000  2 Sr 2.66
Ir1 0.5000 0.5000 0.5000  12 Ge 3.76

Output
Final energy = -2.834 eV/atom
Energy of formation = 2.0452 eV/atom
Calculated volume = 150.9 Å³/f.u.

---

Sr3GeIr2: optimized geometry, GGA-PBE.

a b c (Å): 8.5551 10.4983 9.0788
angles (deg): 90.00 121.96 90.00
Closest atoms and distances in Å follow each position.
Fractional positions:
Sr1 0.1736 0.2125 0.3370  4 Ir 2.95-3.27, 1 Ge 3.22
Sr2 0.1736 0.2875 0.8370  4 Ir 2.95-3.27, 1 Ge 3.22
Sr3 0.2523 0.5259 0.1652  2 Ir 2.92-3.02
Sr4 0.2520 0.5261 0.5862  2 Ir 2.92-3.02
Sr5 0.2520 0.9739 0.0862  2 Ir 2.92-3.02
Sr6 0.2523 0.9741 0.6652  2 Ir 2.92-3.02
Sr7 0.7477 0.0259 0.3348  2 Ir 2.92-3.02
Sr8 0.7480 0.0261 0.9138  2 Ir 2.92-3.02
Sr9 0.7480 0.4739 0.4138  2 Ir 2.92-3.02
Sr10 0.7477 0.4741 0.8348  2 Ir 2.92-3.02
Sr11 0.8264 0.7125 0.1630  4 Ir 2.95-3.27, 1 Ge 3.22
Sr12 0.8264 0.7875 0.6630  4 Ir 2.95-3.27, 1 Ge 3.22
Ge1 0.3834 0.6970 0.9413  3 Ir 2.50-2.51
Ge2 0.3834 0.8030 0.4413  3 Ir 2.50-2.51
Ge3 0.6166 0.1970 0.5587  3 Ir 2.50-2.51
Ge4 0.6166 0.3030 0.0587  3 Ir 2.50-2.51
Ir1 0.0895 0.5732 0.7947  1 Ge 2.50
Ir2 0.0895 0.9268 0.2947  1 Ge 2.50
Ir3 0.4919 0.2499 0.2464  2 Ge 2.51
Ir4 0.4919 0.2501 0.7464  2 Ge 2.51
Ir5 0.5081 0.7499 0.2536  2 Ge 2.51
Ir6 0.5081 0.7501 0.7536  2 Ge 2.51
Ir7 0.9105 0.0732 0.7053  1 Ge 2.50
Ir8 0.9105 0.4268 0.2053  1 Ge 2.50

Output
Final energy = -4.813 eV/atom
Energy of formation = -0.2492 eV/atom
Calculated volume = 173.0 Å³/f.u.

---

SrGe2Ir2: optimized geometry, GGA-PBE.

a b c (Å): 6.1957 6.1957 6.1957
angles (deg): 140.02 140.02 57.82
Closest atoms and distances in Å follow each position.
Fractional positions:
Sr1 0.0000 0.0000 0.0000  8 Ge 3.31, 8 Ir 3.44
Ge1 0.3701 0.3701 0.0000  4 Ir 2.49
Ge2 0.6299 0.6299 0.0000  4 Ir 2.49
Ir1 0.2500 0.7500 0.5000  4 Ge 2.49
Ir2 0.7500 0.2500 0.5000  4 Ge 2.49

Output
Final energy = -6.374 eV/atom
Energy of formation = -0.6463 eV/atom
Calculated volume = 97.3 Å³/f.u.

---

SrGe3Ir5: optimized geometry, GGA-PBE.

a b c (Å): 6.7681 6.7681 12.4404
angles (deg): 90.00 90.00 145.23
Closest atoms and distances in Å follow each position.
Fractional positions:
Sr1 0.1620 0.8380 0.7500  6 Ge 3.27-3.44, 4 Ir 3.53
Sr2 0.8380 0.1620 0.2500  6 Ge 3.27-3.44, 4 Ir 3.53
Ge1 0.1231 0.8769 0.2500  6 Ir 2.49-2.56
Ge2 0.3842 0.6158 0.0486  5 Ir 2.39-2.59
Ge3 0.3842 0.6158 0.4514  5 Ir 2.39-2.59
Ge4 0.6158 0.3842 0.5486  5 Ir 2.39-2.59
Ge5 0.6158 0.3842 0.9514  5 Ir 2.39-2.59
Ge6 0.8769 0.1231 0.7500  6 Ir 2.49-2.56
Ir1 0.0000 0.0000 0.0000  4 Ge 2.59, 6 Ir 2.72-2.81
Ir2 0.0000 0.0000 0.5000  4 Ge 2.59, 6 Ir 2.72-2.81
Ir3 0.2003 0.7997 0.0665  2 Ge 2.39-2.49
Ir4 0.2003 0.7997 0.4335  2 Ge 2.39-2.49
Ir5 0.4432 0.5568 0.6448  4 Ge 2.52-2.56, 3 Ir 2.62-2.81
Ir6 0.4432 0.5568 0.8552  4 Ge 2.52-2.56, 3 Ir 2.62-2.81
Ir7 0.5568 0.4432 0.1448  4 Ge 2.52-2.56, 3 Ir 2.62-2.81
Ir8 0.5568 0.4432 0.3552  4 Ge 2.52-2.56, 3 Ir 2.62-2.81
Ir9 0.7997 0.2003 0.5665  2 Ge 2.39-2.49
Ir10 0.7997 0.2003 0.9335  2 Ge 2.39-2.49

Output
Final energy = -6.964 eV/atom
Energy of formation = -0.3155 eV/atom
Calculated volume = 162.5 Å³/f.u.

---

SrGe2Ir2: optimized geometry, GGA-PBE.

a b c (Å): 5.9804 5.9804 5.9804
angles (deg): 136.83 136.83 62.69
Closest atoms and distances in Å follow each position.
Fractional positions:
Sr1 0.0000 0.0000 0.0000  8 Ge 3.37, 8 Ir 3.37
Ge1 0.2500 0.7500 0.5000  4 Ir 2.53
Ge2 0.7500 0.2500 0.5000  4 Ir 2.53
Ir1 0.3725 0.3725 0.0000  4 Ge 2.53, 1 Ir 2.61
Ir2 0.6275 0.6275 0.0000  4 Ge 2.53, 1 Ir 2.61

Output
Final energy = -6.194 eV/atom
Energy of formation = -0.4661 eV/atom
Calculated volume = 98.9 Å³/f.u.